# PBE AcPm4Ni4, optimized geometry
# Calculated volume ... 458.7 Å³ per cell
# Energy relative to the elements ... -18.6 kJ/mol of atoms
# Total magnetization ... 0.00 μB per atom
data_AcPm4Ni4
_chemical_formula_sum 'Ac2 Pm8 Ni8'
_space_group_name_H-M_alt 'P 42/n'
_space_group_IT_number 86
_cell_length_a 8.958
_cell_length_b 8.958
_cell_length_c 5.716
_cell_angle_alpha 90.00
_cell_angle_beta 90.00
_cell_angle_gamma 90.00
loop_
_space_group_symop_operation_xyz
'x,y,z'
'-x,-y,-z'
'-y,x+1/2,z+1/2'
'y,-x+1/2,-z+1/2'
'-x+1/2,-y+1/2,z'
'x+1/2,y+1/2,-z'
'y+1/2,-x,z+1/2'
'-y+1/2,x,-z+1/2'
loop_
_atom_site_label
_atom_site_type_symbol
_atom_site_fract_x
_atom_site_fract_y
_atom_site_fract_z
Ac1 Ac 0.250 0.250 0.250
Pm1 Pm 0.074 0.656 0.161
Ni1 Ni 0.038 0.610 0.647